An optimized crystal structure of TaPbSe3. Source: the Alexandria database, functional PBE-GGA.

Properties
D(E_F): 0.431 states/eV/atom
energy: -5.78 eV per atom
total magnetic moment: 0.0 μB/f.u.

a b c (Å): 3.6711 8.5963 8.5814
angles (deg): 101.41 90.00 90.00
Last column: nearest neighbours and their distance in Å.
Atoms (fractional coordinates):
Ta1 0.2500 0.8619 0.3879  6 Se 2.60-2.66
Ta2 0.7500 0.1381 0.6121  6 Se 2.60-2.66
Pb1 0.2500 0.4213 0.1820  3 Se 2.86-2.99
Pb2 0.7500 0.5787 0.8180  3 Se 2.86-2.99
Se1 0.7500 0.6539 0.4317  2 Ta 2.64
Se2 0.2500 0.3461 0.5683  2 Ta 2.64
Se3 0.7500 0.2805 0.9171  1 Ta 2.66, 1 Pb 2.86
Se4 0.2500 0.9532 0.6954  3 Ta 2.60-2.62
Se5 0.2500 0.7195 0.0829  1 Ta 2.66, 1 Pb 2.86
Se6 0.7500 0.0468 0.3046  3 Ta 2.60-2.62